! RbAg3I (PBE-GGA, relaxed); values from VASP
! DFT total energy in eV for the cell shown: -6.1
! Crystal system: cubic
! Total moment in μB/f.u.: 0.000
! ρ in g cm⁻³: 4.0
! ΔE_f (raw) in eV per atom: 1.003
! Energy relative to the lowest polymorph listed for this composition in eV per formula unit: 2.69
! V in Å³ per cell: 220
&SYSTEM
  ibrav = 0, nat = 5, ntyp = 3
/
ATOMIC_SPECIES
I 126.90 I.upf
Rb 85.47 Rb.upf
Ag 107.87 Ag.upf
CELL_PARAMETERS angstrom
6.041 0.000 0.000
0.000 6.041 0.000
0.000 0.000 6.041
ATOMIC_POSITIONS angstrom
I 3.020 3.020 3.020
Rb 0.000 0.000 0.000
Ag 0.000 3.020 0.000
Ag 0.000 0.000 3.020
Ag 3.020 0.000 0.000

=====

! LiCuCl2 (PBE-GGA, relaxed); values from VASP
! DFT total energy in eV for the cell shown: -12.9
! Crystal system: trigonal
! Total moment in μB/f.u.: 0.000
! ρ in g cm⁻³: 2.6
! ΔE_f (raw) in eV per atom: -0.809
! V in Å³ per cell: 89
&SYSTEM
  ibrav = 0, nat = 4, ntyp = 3
/
ATOMIC_SPECIES
Li 6.94 Li.upf
Cu 63.55 Cu.upf
Cl 35.45 Cl.upf
CELL_PARAMETERS angstrom
2.219 0.000 6.978
-1.109 1.922 6.978
-1.109 -1.922 6.978
ATOMIC_POSITIONS angstrom
Li 0.000 0.000 0.000
Cu 0.000 0.000 10.467
Cl 0.000 0.000 18.759
Cl 0.000 0.000 2.175

=====

! PuAuI6 (PBE-GGA, relaxed); values from VASP
! DFT total energy in eV for the cell shown: -31.0
! Crystal system: monoclinic
! Total moment in μB/f.u.: 3.792
! ρ in g cm⁻³: 5.5
! ΔE_f (raw) in eV per atom: -0.510
! Energy relative to the lowest polymorph listed for this composition in eV per formula unit: 0.12
! V in Å³ per cell: 362
&SYSTEM
  ibrav = 0, nat = 8, ntyp = 3
/
ATOMIC_SPECIES
Pu 244.00 Pu.upf
Au 196.97 Au.upf
I 126.90 I.upf
CELL_PARAMETERS angstrom
-2.758 -1.249 -7.624
7.264 -2.863 2.444
-5.008 -3.328 4.469
ATOMIC_POSITIONS angstrom
Pu -1.379 -0.625 -3.812
Au 0.000 0.000 0.000
I -2.956 -2.772 -5.297
I 1.102 -5.441 0.386
I -1.603 -1.999 -1.098
I 2.455 -4.669 4.585
I 3.402 -2.025 -0.817
I 1.105 -2.087 -4.363

=====

! Sb2Te3H2 (PBE-GGA, relaxed); values from VASP
! DFT total energy in eV for the cell shown: -23.7
! Crystal system: monoclinic
! Total moment in μB/f.u.: 0.000
! ρ in g cm⁻³: 5.2
! V in Å³ per cell: 202
&SYSTEM
  ibrav = 0, nat = 7, ntyp = 3
/
ATOMIC_SPECIES
Sb 121.76 Sb.upf
Te 127.60 Te.upf
H 1.01 H.upf
CELL_PARAMETERS angstrom
-5.425 -1.965 2.283
-2.738 -5.288 1.743
-0.923 -2.257 9.309
ATOMIC_POSITIONS angstrom
Sb -0.829 -0.974 1.872
Sb -8.257 -8.537 11.463
Te -4.081 -3.627 2.013
Te -3.611 -4.137 7.494
Te -5.474 -5.374 5.841
H -1.318 -2.125 6.525
H -7.768 -7.387 6.811

=====

! LiPrNdTl (PBE-GGA, relaxed); values from VASP
! DFT total energy in eV for the cell shown: -14.6
! Crystal system: cubic
! Total moment in μB/f.u.: 0.001
! ρ in g cm⁻³: 7.1
! V in Å³ per cell: 116
&SYSTEM
  ibrav = 0, nat = 4, ntyp = 4
/
ATOMIC_SPECIES
Pr 140.91 Pr.upf
Tl 204.38 Tl.upf
Nd 144.24 Nd.upf
Li 6.94 Li.upf
CELL_PARAMETERS angstrom
-4.882 1.271 2.120
-3.164 -3.924 2.130
-0.782 -0.248 5.410
ATOMIC_POSITIONS angstrom
Pr -6.621 -2.175 7.244
Tl -4.414 -1.450 4.830
Nd -2.207 -0.725 2.415
Li 0.000 0.000 0.000

=====

! Ho3Tm5Mg2 (PBE-GGA, relaxed); values from VASP
! DFT total energy in eV for the cell shown: -78.0
! Crystal system: monoclinic
! Total moment in μB/f.u.: 0.000
! ρ in g cm⁻³: 7.9
! V in Å³ per cell: 583
&SYSTEM
  ibrav = 0, nat = 20, ntyp = 3
/
ATOMIC_SPECIES
Ho 164.93 Ho.upf
Tm 168.93 Tm.upf
Mg 24.30 Mg.upf
CELL_PARAMETERS angstrom
6.315 -1.197 -0.912
1.629 9.124 -2.883
1.629 -0.361 9.562
ATOMIC_POSITIONS angstrom
Ho 3.208 -0.231 8.772
Ho 6.365 7.798 -3.006
Ho 4.508 2.617 6.885
Ho 5.064 4.949 -1.119
Ho 7.665 6.734 0.242
Ho 1.907 0.832 5.524
Tm 3.207 3.764 3.529
Tm 6.365 3.802 2.237
Tm 5.576 5.581 5.073
Tm 0.839 1.794 2.187
Tm 3.997 1.986 0.694
Tm 8.733 5.772 3.580
Tm 1.911 4.550 0.401
Tm 7.662 3.016 5.365
Tm 5.070 0.996 3.825
Tm 4.503 6.570 1.941
Mg 2.125 6.564 -1.953
Mg 7.447 1.002 7.719
Mg 5.281 -0.742 6.390
Mg 4.292 8.309 -0.623

=====

! NiSb2Cl (PBE-GGA, relaxed); values from VASP
! DFT total energy in eV for the cell shown: -16.2
! Crystal system: tetragonal
! Total moment in μB/f.u.: 0.000
! ρ in g cm⁻³: 5.5
! ΔE_f (raw) in eV per atom: -0.070
! Energy relative to the lowest polymorph listed for this composition in eV per formula unit: 0.93
! V in Å³ per cell: 102
&SYSTEM
  ibrav = 0, nat = 4, ntyp = 3
/
ATOMIC_SPECIES
Cl 35.45 Cl.upf
Ni 58.69 Ni.upf
Sb 121.76 Sb.upf
CELL_PARAMETERS angstrom
-2.677 -0.255 1.959
1.906 -1.206 2.446
1.453 8.595 3.105
ATOMIC_POSITIONS angstrom
Cl 0.814 4.817 1.740
Ni 0.957 7.211 5.071
Sb 1.190 7.039 2.543
Sb -0.100 0.959 2.813

=====

! K2PC (PBE-GGA, relaxed); values from VASP
! DFT total energy in eV for the cell shown: -11.3
! Crystal system: cubic
! Total moment in μB/f.u.: 1.000
! ρ in g cm⁻³: 1.9
! Energy relative to the lowest polymorph listed for this composition in eV per formula unit: 3.53
! V in Å³ per cell: 108
&SYSTEM
  ibrav = 0, nat = 4, ntyp = 3
/
ATOMIC_SPECIES
P 30.97 P.upf
K 39.10 K.upf
C 12.01 C.upf
CELL_PARAMETERS angstrom
0.000 3.781 3.781
3.781 0.000 3.781
3.781 3.781 0.000
ATOMIC_POSITIONS angstrom
P 3.781 3.781 3.781
K 1.891 1.891 1.891
K 5.672 5.672 5.672
C 0.000 0.000 0.000

=====

! BaNaSr2 (PBE-GGA, relaxed); values from VASP
! DFT total energy in eV for the cell shown: -6.4
! Crystal system: trigonal
! Total moment in μB/f.u.: 0.000
! ρ in g cm⁻³: 2.6
! Energy relative to the lowest polymorph listed for this composition in eV per formula unit: 0.14
! V in Å³ per cell: 216
&SYSTEM
  ibrav = 0, nat = 4, ntyp = 3
/
ATOMIC_SPECIES
Sr 87.62 Sr.upf
Ba 137.33 Ba.upf
Na 22.99 Na.upf
CELL_PARAMETERS angstrom
-2.827 -3.104 -0.837
-1.992 -2.004 3.216
-11.606 7.524 0.350
ATOMIC_POSITIONS angstrom
Sr -12.474 1.955 2.040
Sr -3.951 0.461 0.689
Ba -8.213 1.208 1.365
Na 0.000 0.000 0.000

=====

! Dy2Y13 (PBE-GGA, relaxed); values from VASP
! DFT total energy in eV for the cell shown: -92.3
! Crystal system: triclinic
! Total moment in μB/f.u.: 0.001
! ρ in g cm⁻³: 5.1
! Energy relative to the lowest polymorph listed for this composition in eV per formula unit: 0.00
! V in Å³ per cell: 483
&SYSTEM
  ibrav = 0, nat = 15, ntyp = 2
/
ATOMIC_SPECIES
Dy 162.50 Dy.upf
Y 88.91 Y.upf
CELL_PARAMETERS angstrom
6.598 -0.211 0.679
-1.106 8.932 0.306
0.394 -3.977 8.075
ATOMIC_POSITIONS angstrom
Dy 5.312 4.491 5.578
Dy 0.574 0.252 3.482
Y 4.015 5.350 0.844
Y 1.871 -0.607 8.215
Y 0.000 0.000 0.000
Y 2.236 -2.202 5.391
Y 3.650 6.945 3.669
Y 0.370 1.911 6.257
Y 5.515 2.832 2.803
Y 2.127 3.690 3.705
Y 3.759 1.053 5.355
Y 2.617 3.978 7.347
Y 3.269 0.765 1.712
Y 5.382 -1.553 7.055
Y 0.504 6.297 2.004

=====

Q: Look up the V of the eighth one.
A: 108 Å³ per cell